# 1
4
Lattice="2.785 -4.575 0.000 2.785 4.575 0.000 0.000 0.000 3.238" Properties=species:S:1:pos:R:3 comment="CrHg2As, relaxed, DFT PBE" dos_at_fermi_per_ev_cell=2.00 formation_energy_mev_per_atom=422 pbc="T T T"
Cr 0.000 0.000 0.000
Hg 1.392 2.287 1.619
Hg 1.392 -2.287 1.619
As 2.785 0.000 0.000


# 2
2
Lattice="-1.649 2.143 3.438 1.649 -2.143 3.438 1.649 2.143 -3.438" Properties=species:S:1:pos:R:3 comment="CuTe, relaxed, DFT PBE" dos_at_fermi_per_ev_cell=1.16 formation_energy_uncorrected_ev_per_atom=-0.03 pbc="T T T"
Cu 0.000 0.000 0.000
Te 1.649 0.000 2.025


# 3
4
Lattice="3.602 0.000 0.000 0.000 3.602 0.000 0.000 0.000 6.742" Properties=species:S:1:pos:R:3 comment="DyHfTi2, relaxed, DFT PBE" dos_at_fermi_per_ev_cell=5.70 formation_energy_mev_per_atom=152 pbc="T T T"
Dy 0.000 0.000 0.000
Hf 0.000 0.000 3.371
Ti 1.801 1.801 1.997
Ti 1.801 1.801 4.745


# 4
9
Lattice="6.301 -2.060 0.000 6.301 2.060 0.000 -2.171 0.000 6.317" Properties=species:S:1:pos:R:3 comment="Cd2PtAu6, relaxed, DFT PBE" dos_at_fermi_per_ev_cell=2.78 formation_energy_mev_per_atom=-112 relative_energy_mev_per_atom=0 pbc="T T T"
Cd 0.012 0.000 2.034
Cd 10.419 0.000 4.283
Pt 6.301 0.000 0.000
Au 2.112 0.000 0.004
Au 2.066 0.000 4.204
Au 4.217 0.000 2.088
Au 6.214 0.000 4.229
Au 8.365 0.000 2.113
Au 8.319 0.000 6.313


# 5
18
Lattice="2.461 -9.062 0.000 2.461 9.062 0.000 0.000 0.000 14.553" Properties=species:S:1:pos:R:3 comment="Cs2KAgCl5, relaxed, DFT PBE" dos_at_fermi_per_ev_cell=6.50 formation_energy_uncorrected_ev_per_atom=-1.42 pbc="T T T"
Cs 2.461 7.435 7.277
Cs 2.461 6.284 1.829
Cs 2.461 -6.284 9.106
Cs 2.461 -7.435 0.000
K 2.461 5.506 12.275
K 2.461 -5.506 4.998
Ag 2.461 0.287 3.617
Ag 2.461 -0.287 10.893
Cl 2.461 8.627 11.416
Cl 2.461 4.110 6.846
Cl 2.461 2.674 3.019
Cl 2.461 2.021 11.755
Cl 2.461 0.512 8.264
Cl 2.461 -0.512 0.988
Cl 2.461 -2.021 4.478
Cl 2.461 -2.674 10.295
Cl 2.461 -4.110 14.123
Cl 2.461 -8.627 4.139


# 6
20
Lattice="9.231 -5.232 0.000 9.231 5.232 0.000 -0.523 0.000 6.417" Properties=species:S:1:pos:R:3 comment="Nd3YTc, relaxed, DFT PBE" dos_at_fermi_per_ev_cell=25.08 formation_energy_mev_per_atom=133 pbc="T T T"
Nd 11.649 -3.812 1.017
Nd 6.288 3.812 5.400
Nd 5.675 3.062 2.152
Nd 11.388 3.812 4.225
Nd 5.523 0.353 6.205
Nd 5.784 -0.353 2.997
Nd 12.524 3.062 1.057
Nd 5.413 -3.062 5.360
Nd 12.154 0.353 3.420
Nd 12.415 -0.353 0.212
Nd 6.550 -3.812 2.192
Nd 12.263 -3.062 4.265
Y 9.100 4.203 1.604
Y 8.838 1.212 4.813
Y 9.100 -1.212 1.604
Y 8.838 -4.203 4.813
Tc 7.936 1.610 1.294
Tc 10.264 1.610 1.914
Tc 7.674 -1.610 4.503
Tc 10.002 -1.610 5.123


# 7
4
Lattice="-2.037 2.037 3.627 2.037 -2.037 3.627 2.037 2.037 -3.627" Properties=species:S:1:pos:R:3 comment="ScZnNiPt, relaxed, DFT PBE" dos_at_fermi_per_ev_cell=1.79 formation_energy_mev_per_atom=-707 relative_energy_mev_per_atom=0 pbc="T T T"
Sc 0.000 0.000 0.000
Zn 0.000 0.000 3.627
Ni 2.037 0.000 1.814
Pt 0.000 2.037 1.814


# 8
5
Lattice="5.182 0.000 0.000 0.000 5.182 0.000 0.000 0.000 3.665" Properties=species:S:1:pos:R:3 comment="La2MnNiN, relaxed, DFT PBE" dos_at_fermi_per_ev_cell=4.95 formation_energy_uncorrected_ev_per_atom=-0.51 pbc="T T T"
La 0.000 2.591 0.000
La 2.591 0.000 0.000
Mn 0.000 0.000 1.832
Ni 2.591 2.591 1.832
N 0.000 0.000 0.000


# 9
5
Lattice="4.517 0.000 0.000 0.000 4.517 0.000 0.000 0.000 4.517" Properties=species:S:1:pos:R:3 comment="CoRh3Cl, relaxed, DFT PBE" dos_at_fermi_per_ev_cell=17.42 formation_energy_uncorrected_ev_per_atom=1.32 relative_energy_mev_per_atom=310 pbc="T T T"
Co 0.000 0.000 0.000
Rh 0.000 0.000 2.259
Rh 0.000 2.259 0.000
Rh 2.259 0.000 0.000
Cl 2.259 2.259 2.259


# 10
3
Lattice="-1.628 1.628 4.511 1.628 -1.628 4.511 1.628 1.628 -4.511" Properties=species:S:1:pos:R:3 comment="Tc2Au, relaxed, DFT PBE" dos_at_fermi_per_ev_cell=2.18 formation_energy_mev_per_atom=303 relative_energy_mev_per_atom=175 pbc="T T T"
Tc 0.000 0.000 1.672
Tc 0.000 0.000 7.351
Au 0.000 0.000 4.511


# 11
11
Lattice="9.396 -2.553 0.000 9.396 2.553 0.000 -2.089 0.000 7.935" Properties=species:S:1:pos:R:3 comment="La2Pr8Sn, relaxed, DFT PBE" dos_at_fermi_per_ev_cell=15.54 formation_energy_mev_per_atom=-115 relative_energy_mev_per_atom=0 pbc="T T T"
La 3.921 0.000 1.053
La 12.782 0.000 6.882
Pr 0.290 0.000 1.867
Pr 1.161 0.000 5.368
Pr 4.887 0.000 4.695
Pr 7.592 0.000 0.517
Pr 9.111 0.000 7.418
Pr 11.816 0.000 3.240
Pr 15.542 0.000 2.567
Pr 16.413 0.000 6.068
Sn 8.352 0.000 3.968


# 12
8
Lattice="4.517 0.000 0.000 0.000 4.517 0.000 0.000 0.000 8.958" Properties=species:S:1:pos:R:3 comment="LaMg4Ga3, relaxed, DFT PBE" dos_at_fermi_per_ev_cell=3.34 formation_energy_mev_per_atom=-331 pbc="T T T"
La 0.000 0.000 0.000
Mg 0.000 2.258 2.870
Mg 0.000 2.258 6.088
Mg 2.258 0.000 2.870
Mg 2.258 0.000 6.088
Ga 0.000 0.000 4.479
Ga 2.258 2.258 1.217
Ga 2.258 2.258 7.741


# 13
5
Lattice="4.989 0.000 0.000 0.000 4.989 0.000 0.000 0.000 4.989" Properties=species:S:1:pos:R:3 comment="YRhAu3, relaxed, DFT PBE" dos_at_fermi_per_ev_cell=4.83 formation_energy_mev_per_atom=238 relative_energy_mev_per_atom=0 pbc="T T T"
Y 0.000 0.000 0.000
Rh 2.495 2.495 2.495
Au 0.000 2.495 2.495
Au 2.495 0.000 2.495
Au 2.495 2.495 0.000


# 14
4
Lattice="0.000 3.464 3.464 3.464 0.000 3.464 3.464 3.464 0.000" Properties=species:S:1:pos:R:3 comment="PuMgMnGa, relaxed, DFT PBE" dos_at_fermi_per_ev_cell=12.51 formation_energy_mev_per_atom=193 pbc="T T T"
Pu 0.000 0.000 0.000
Mg 3.464 3.464 3.464
Mn 1.732 1.732 1.732
Ga 5.196 5.196 5.196


# 15
18
Lattice="-3.472 9.551 3.496 3.472 -9.551 3.496 3.472 9.551 -3.496" Properties=species:S:1:pos:R:3 comment="Sm5In2O2, relaxed, DFT PBE" dos_at_fermi_per_ev_cell=6.57 formation_energy_uncorrected_ev_per_atom=-1.45 pbc="T T T"
Sm 1.736 4.776 -1.748
Sm 1.736 -4.776 1.748
Sm 0.000 2.614 0.442
Sm 1.736 9.380 -1.748
Sm 1.736 -0.171 1.748
Sm 0.000 6.937 0.442
Sm 3.472 2.614 3.054
Sm -1.736 9.723 1.748
Sm 1.736 9.723 1.748
Sm 3.472 6.937 3.054
In 3.472 2.381 -0.135
In 3.472 7.170 -0.135
In 0.000 2.381 3.631
In 0.000 7.170 3.631
O 0.000 0.000 0.000
O 3.472 -4.776 3.304
O 0.000 9.551 0.000
O 0.000 14.327 0.191


# 16
4
Lattice="1.452 0.838 9.747 -1.452 0.838 9.747 0.000 -1.676 9.747" Properties=species:S:1:pos:R:3 comment="CoAs2Os, relaxed, DFT PBE" dos_at_fermi_per_ev_cell=2.32 formation_energy_mev_per_atom=208 relative_energy_mev_per_atom=119 pbc="T T T"
Co 0.000 0.000 0.000
As 0.000 0.000 15.529
As 0.000 0.000 21.186
Os 0.000 0.000 7.643


# 17
12
Lattice="6.489 0.000 0.000 0.000 17.787 0.000 0.000 0.000 3.403" Properties=species:S:1:pos:R:3 comment="PmDyY2Tm2, relaxed, DFT PBE" dos_at_fermi_per_ev_cell=19.74 formation_energy_mev_per_atom=272 pbc="T T T"
Pm 0.000 0.000 0.000
Pm 3.245 8.894 1.701
Dy 0.000 8.894 0.000
Dy 3.245 0.000 1.701
Y 1.445 3.338 0.000
Y 1.800 12.232 1.701
Y 4.690 5.556 1.701
Y 5.045 14.450 0.000
Tm 1.432 6.286 1.701
Tm 1.813 15.180 0.000
Tm 4.677 2.608 0.000
Tm 5.057 11.501 1.701


# 18
18
Lattice="6.441 -6.827 0.000 6.441 6.827 0.000 -0.585 0.000 6.541" Properties=species:S:1:pos:R:3 comment="Nd3Ho4Tl2, relaxed, DFT PBE" dos_at_fermi_per_ev_cell=23.00 formation_energy_mev_per_atom=-70 pbc="T T T"
Nd 6.003 6.378 4.906
Nd 4.741 0.929 2.644
Nd 4.449 -0.929 5.915
Nd 7.849 0.929 0.626
Nd 7.557 -0.929 3.897
Nd 6.295 -6.378 1.635
Ho 4.289 4.415 2.684
Ho 4.546 2.914 5.955
Ho 8.302 4.415 0.587
Ho 7.459 2.914 3.857
Ho 4.839 -2.914 2.685
Ho 3.996 -4.415 5.955
Ho 7.752 -2.914 0.586
Ho 8.009 -4.415 3.857
Tl 2.620 1.046 0.210
Tl 2.328 -1.046 3.481
Tl 9.970 1.046 3.061
Tl 9.678 -1.046 6.331


# 19
4
Lattice="0.000 2.718 4.755 2.711 0.000 4.755 2.711 2.718 0.000" Properties=species:S:1:pos:R:3 comment="ReAsAu2, relaxed, DFT PBE" dos_at_fermi_per_ev_cell=3.88 formation_energy_mev_per_atom=716 pbc="T T T"
Re 0.000 0.000 0.000
As 2.711 2.718 4.755
Au 1.355 1.359 2.377
Au 4.066 4.077 7.132


# 20
5
Lattice="5.372 0.000 0.000 0.000 5.372 0.000 0.000 0.000 4.568" Properties=species:S:1:pos:R:3 comment="La2MgCoGe, relaxed, DFT PBE" dos_at_fermi_per_ev_cell=5.01 formation_energy_mev_per_atom=-287 pbc="T T T"
La 0.000 2.686 0.000
La 2.686 0.000 0.000
Mg 0.000 0.000 2.284
Co 2.686 2.686 0.000
Ge 2.686 2.686 2.284


# 21
5
Lattice="4.896 0.000 0.000 0.000 4.896 0.000 0.000 0.000 6.253" Properties=species:S:1:pos:R:3 comment="AcCe2CoPt, relaxed, DFT PBE" dos_at_fermi_per_ev_cell=11.00 formation_energy_mev_per_atom=-306 pbc="T T T"
Ac 0.000 0.000 0.000
Ce 0.000 2.448 2.862
Ce 2.448 0.000 2.862
Co 0.000 0.000 3.197
Pt 2.448 2.448 1.119


# 22
8
Lattice="-4.797 4.797 2.852 4.797 -4.797 2.852 4.797 4.797 -2.852" Properties=species:S:1:pos:R:3 comment="CdMoI2, relaxed, DFT PBE" dos_at_fermi_per_ev_cell=9.34 formation_energy_uncorrected_ev_per_atom=0.40 pbc="T T T"
Cd 0.000 0.000 0.000
Cd 0.000 4.797 1.426
Mo 4.797 0.000 1.426
Mo 0.000 0.000 2.852
I 2.399 -1.027 2.139
I 3.770 2.399 0.713
I 2.399 5.824 -0.713
I 1.027 2.399 3.565


# 23
10
Lattice="6.743 0.000 0.000 0.000 6.743 0.000 0.000 0.000 3.625" Properties=species:S:1:pos:R:3 comment="TiCo2Sb2, relaxed, DFT PBE" dos_at_fermi_per_ev_cell=9.68 formation_energy_uncorrected_ev_per_atom=-0.03 pbc="T T T"
Ti 0.000 0.000 0.000
Ti 3.372 3.372 0.000
Co 0.839 2.533 0.000
Co 2.533 5.904 0.000
Co 4.210 0.839 0.000
Co 5.904 4.210 0.000
Sb 1.191 4.563 1.813
Sb 2.180 1.191 1.813
Sb 4.563 5.552 1.813
Sb 5.552 2.180 1.813


# 24
8
Lattice="-1.989 1.989 8.739 1.989 -1.989 8.739 1.989 1.989 -8.739" Properties=species:S:1:pos:R:3 comment="Al2FeHg, relaxed, DFT PBE" dos_at_fermi_per_ev_cell=12.02 formation_energy_mev_per_atom=447 pbc="T T T"
Al 2.984 0.842 -2.185
Al 0.842 0.995 2.185
Al -0.995 1.147 6.555
Al 1.147 0.995 10.924
Fe 0.000 0.000 0.000
Fe 0.000 1.989 4.370
Hg 1.989 0.000 4.370
Hg 0.000 0.000 8.739